No. 1
# InOsO4 PBE-GGA optimized geometry
# Uncorrected energy   -6.741 eV/atom
data_InOsO4
_symmetry_space_group_name_H-M 'P 1 2/c 1'
_symmetry_Int_Tables_number 13
_cell_length_a 4.7511
_cell_length_b 5.7578
_cell_length_c 5.2511
_cell_angle_alpha 90.00
_cell_angle_beta 92.39
_cell_angle_gamma 90.00
loop_
_symmetry_equiv_pos_as_xyz
'x,y,z'
'-x,-y,-z'
'-x,y,-z+1/2'
'x,-y,z+1/2'
loop_
_atom_site_label
_atom_site_fract_x
_atom_site_fract_y
_atom_site_fract_z
In1 0.0000 0.1717 0.2500
Os1 0.5000 0.3454 0.7500
O1 0.2443 0.1242 0.6004
O2 0.2839 0.4003 0.0591

No. 2
# TlCdSi PBE-GGA optimized geometry
# Energy above the most stable polymorph in this dataset   0.000 eV/atom
# Uncorrected energy   -2.541 eV/atom
data_TlCdSi
_symmetry_space_group_name_H-M 'F -4 3 m'
_symmetry_Int_Tables_number 216
_symmetry_space_group_name_Hall 'F -4 2 3'
_cell_length_a 6.7215
_cell_length_b 6.7215
_cell_length_c 6.7215
_cell_angle_alpha 90.00
_cell_angle_beta 90.00
_cell_angle_gamma 90.00
loop_
_atom_site_label
_atom_site_fract_x
_atom_site_fract_y
_atom_site_fract_z
Tl1 0.0000 0.0000 0.0000
Cd1 0.0000 0.0000 0.5000
Si1 0.2500 0.2500 0.7500

No. 3
# MgSnOs2 PBE-GGA optimized geometry
# Uncorrected energy   -6.508 eV/atom
data_MgSnOs2
_symmetry_space_group_name_H-M 'F -4 3 m'
_symmetry_Int_Tables_number 216
_symmetry_space_group_name_Hall 'F -4 2 3'
_cell_length_a 6.4061
_cell_length_b 6.4061
_cell_length_c 6.4061
_cell_angle_alpha 90.00
_cell_angle_beta 90.00
_cell_angle_gamma 90.00
loop_
_atom_site_label
_atom_site_fract_x
_atom_site_fract_y
_atom_site_fract_z
Mg1 0.0000 0.0000 0.0000
Sn1 0.2500 0.2500 0.7500
Os1 0.0000 0.0000 0.5000
Os2 0.2500 0.2500 0.2500

No. 4
# KCuTePd PBE-GGA optimized geometry
# Energy above the most stable polymorph in this dataset   0.153 eV/atom
# Uncorrected energy   -3.087 eV/atom
data_KCuTePd
_symmetry_space_group_name_H-M 'F -4 3 m'
_symmetry_Int_Tables_number 216
_symmetry_space_group_name_Hall 'F -4 2 3'
_cell_length_a 7.0623
_cell_length_b 7.0623
_cell_length_c 7.0623
_cell_angle_alpha 90.00
_cell_angle_beta 90.00
_cell_angle_gamma 90.00
loop_
_atom_site_label
_atom_site_fract_x
_atom_site_fract_y
_atom_site_fract_z
K1 0.0000 0.0000 0.0000
Cu1 0.0000 0.0000 0.5000
Te1 0.2500 0.2500 0.2500
Pd1 0.2500 0.2500 0.7500

No. 5
# Pr3TlPb5 PBE-GGA optimized geometry
# Uncorrected energy   -4.251 eV/atom
data_Pr3TlPb5
_symmetry_space_group_name_H-M 'P -6 2 m'
_symmetry_Int_Tables_number 189
_symmetry_space_group_name_Hall 'P -6 -2'
_cell_length_a 8.4950
_cell_length_b 8.4950
_cell_length_c 4.4825
_cell_angle_alpha 90.00
_cell_angle_beta 90.00
_cell_angle_gamma 120.00
loop_
_atom_site_label
_atom_site_fract_x
_atom_site_fract_y
_atom_site_fract_z
Pr1 0.0000 0.6079 0.0000
Tl1 0.0000 0.0000 0.0000
Pb1 0.0000 0.2687 0.5000
Pb2 0.3333 0.6667 0.5000

No. 6
# YTaNiAs PBE-GGA optimized geometry
# Uncorrected energy   -6.787 eV/atom
data_YTaNiAs
_symmetry_space_group_name_H-M 'F -4 3 m'
_symmetry_Int_Tables_number 216
_symmetry_space_group_name_Hall 'F -4 2 3'
_cell_length_a 6.5577
_cell_length_b 6.5577
_cell_length_c 6.5577
_cell_angle_alpha 90.00
_cell_angle_beta 90.00
_cell_angle_gamma 90.00
loop_
_atom_site_label
_atom_site_fract_x
_atom_site_fract_y
_atom_site_fract_z
Y1 0.0000 0.0000 0.0000
Ta1 0.2500 0.2500 0.2500
Ni1 0.2500 0.2500 0.7500
As1 0.0000 0.0000 0.5000

Q: The highest uncorrected energy belongs to which entry?
A: TlCdSi